# 1
VASP calculation (GGA-PBE) on Tl3SiF7 after structural relaxation.

Computed properties:
- N(E_F): 0.00 states/eV/f.u.
- Energy relative to the elements, uncorrected: -2628 kJ/mol of formula units
- Final energy: -4.81 eV/atom

Unit cell a=5.916 b=5.916 c=7.021 alpha=111.48 beta=111.48 gamma=87.52
Element x y z (fractional)
Tl 0.000 0.000 0.000
Tl 0.264 0.757 0.524
Tl 0.757 0.264 0.524
Si 0.513 0.513 0.056
F 0.072 0.072 0.375
F 0.228 0.528 0.878
F 0.381 0.381 0.181
F 0.499 0.797 0.244
F 0.528 0.228 0.878
F 0.647 0.647 0.940
F 0.797 0.499 0.244

---

# 2
VASP calculation (GGA-PBE) on TlSi2F after structural relaxation.

Computed properties:
- N(E_F): 1.20 states/eV/f.u.
- Energy relative to the elements, uncorrected: -118 kJ/mol of formula units
- Final energy: -4.08 eV/atom

Unit cell a=11.818 b=11.818 c=11.818 alpha=162.44 beta=162.44 gamma=24.94
Element x y z (fractional)
Tl 0.000 0.000 0.000
Tl 0.750 0.250 0.500
Si 0.111 0.625 0.986
Si 0.375 0.361 0.486
Si 0.639 0.125 0.014
Si 0.875 0.889 0.514
F 0.250 0.750 0.500
F 0.500 0.500 0.000

---

# 3
VASP calculation (GGA-PBE) on Tl3SiF7 after structural relaxation.

Computed properties:
- N(E_F): 0.00 states/eV/f.u.
- Energy relative to the elements, uncorrected: -2641 kJ/mol of formula units
- Final energy: -4.82 eV/atom

Unit cell a=8.031 b=8.031 c=6.969 alpha=90.00 beta=90.00 gamma=119.94
Element x y z (fractional)
Tl 0.160 0.840 0.500
Tl 0.161 0.324 0.501
Tl 0.324 0.161 0.001
Tl 0.676 0.839 0.501
Tl 0.839 0.676 0.001
Tl 0.840 0.160 0.000
Si 0.333 0.667 0.038
Si 0.667 0.333 0.538
F 0.001 0.999 0.240
F 0.130 0.566 0.180
F 0.232 0.463 0.897
F 0.232 0.768 0.896
F 0.434 0.566 0.182
F 0.434 0.870 0.180
F 0.463 0.232 0.397
F 0.537 0.768 0.897
F 0.566 0.130 0.680
F 0.566 0.434 0.682
F 0.768 0.232 0.396
F 0.768 0.537 0.397
F 0.870 0.434 0.680
F 0.999 0.001 0.740

---

# 4
VASP calculation (GGA-PBE) on TlSiF2 after structural relaxation.

Computed properties:
- N(E_F): 2.03 states/eV/f.u.
- Energy relative to the elements, uncorrected: -307 kJ/mol of formula units
- Final energy: -3.68 eV/atom

Unit cell a=4.550 b=4.550 c=4.550 alpha=60.00 beta=60.00 gamma=60.00
Element x y z (fractional)
Tl 0.000 0.000 0.000
Si 0.500 0.500 0.500
F 0.250 0.250 0.250
F 0.750 0.750 0.750

---

# 5
VASP calculation (GGA-PBE) on TlSi3F after structural relaxation.

Computed properties:
- N(E_F): 2.96 states/eV/f.u.
- Energy relative to the elements, uncorrected: 219 kJ/mol of formula units
- Final energy: -3.65 eV/atom

Unit cell a=4.601 b=4.601 c=4.601 alpha=90.00 beta=90.00 gamma=90.00
Element x y z (fractional)
Tl 0.000 0.000 0.000
Si 0.000 0.500 0.500
Si 0.500 0.000 0.500
Si 0.500 0.500 0.000
F 0.500 0.500 0.500